Entry 1:
Here is a relaxed TaCoRe2Bi crystal from the Alexandria database. Energies are from PBE.

Structure (CIF):
```
data_TaCoRe2Bi
_chemical_formula_sum 'Ta1 Co1 Re2 Bi1'
_cell_length_a 4.508
_cell_length_b 4.508
_cell_length_c 4.671
_cell_angle_alpha 90.00
_cell_angle_beta 90.00
_cell_angle_gamma 90.00
_space_group_name_H-M_alt 'P 4/m m m'
_space_group_IT_number 123
_space_group_name_Hall '-P 4 2'
loop_
_atom_site_label
_atom_site_fract_x
_atom_site_fract_y
_atom_site_fract_z
Ta1 0.000 0.000 0.000
Co1 0.500 0.500 0.500
Re1 0.000 0.500 0.500
Bi1 0.500 0.500 0.000
```

Computed properties:
E ... -39.86 eV for the cell shown
Total magnetization ... 0.00 μB/atom
Calculated formation energy ... 1.58 eV per atom

Entry 2:
Here is a relaxed SiAgP2 crystal from the Alexandria database. Energies are from PBE.

Structure (CIF):
```
data_SiAgP2
_chemical_formula_sum 'Si2 Ag2 P4'
_cell_length_a 10.164
_cell_length_b 3.368
_cell_length_c 4.935
_cell_angle_alpha 90.00
_cell_angle_beta 106.52
_cell_angle_gamma 90.00
_space_group_name_H-M_alt 'C 1 2/m 1'
_space_group_IT_number 12
loop_
_space_group_symop_operation_xyz
'x,y,z'
'-x,-y,-z'
'-x,y,-z'
'x,-y,z'
'x+1/2,y+1/2,z'
'-x+1/2,-y+1/2,-z'
'-x+1/2,y+1/2,-z'
'x+1/2,-y+1/2,z'
loop_
_atom_site_label
_atom_site_fract_x
_atom_site_fract_y
_atom_site_fract_z
Si1 0.000 0.000 0.000
Ag1 0.000 0.500 0.500
P1 0.161 0.500 0.978
```

Computed properties:
E ... -35.67 eV for the cell shown
Total magnetization ... 0.00 μB/atom
Raw formation energy ... 0.315 eV/atom

Entry 3:
Here is a relaxed TbSm2OsO8 crystal from the Alexandria database. Energies are from PBE.

Structure (CIF):
```
data_TbSm2OsO8
_chemical_formula_sum 'Tb2 Sm4 Os2 O16'
_cell_length_a 7.230
_cell_length_b 7.279
_cell_length_c 6.883
_cell_angle_alpha 90.00
_cell_angle_beta 90.00
_cell_angle_gamma 90.00
_space_group_name_H-M_alt 'C m m m'
_space_group_IT_number 65
_space_group_name_Hall '-C 2 2'
loop_
_atom_site_label
_atom_site_fract_x
_atom_site_fract_y
_atom_site_fract_z
Tb1 0.000 0.000 0.000
Sm1 0.000 0.500 0.248
Os1 0.000 0.000 0.500
O1 0.000 0.179 0.292
O2 0.195 0.500 0.000
O3 0.242 0.500 0.500
```

Computed properties:
E ... -189.23 eV for the cell shown
Total magnetization ... 0.09 μB/atom
Raw formation energy ... -2.471 eV/atom